Record 1
LiAlAu2 | GGA-PBE | relaxed

a b c (Å): 3.480 3.480 5.449
angles (deg): 90.00 90.00 90.00
Positions (direct):
Li 0.000 0.000 0.000
Al 0.500 0.500 0.297
Au 0.000 0.000 0.486
Au 0.500 0.500 0.821

Values from the calculation:
- V: 16.50 A^3/atom
- Space-group type: No. 99
- E: -3.481 eV per atom

=====

Record 2
LiAl4Au5 | GGA-PBE | relaxed

a b c (Å): 6.622 6.622 6.622
angles (deg): 97.75 97.75 136.92
Positions (direct):
Li 0.000 0.000 0.000
Al 0.233 0.641 0.881
Al 0.353 0.233 0.592
Al 0.641 0.761 0.408
Al 0.761 0.353 0.119
Au 0.086 0.355 0.446
Au 0.355 0.909 0.269
Au 0.500 0.500 0.000
Au 0.639 0.086 0.731
Au 0.909 0.639 0.554

Values from the calculation:
- V: 18.45 A^3/atom
- Space-group type: No. 79
- E: -3.675 eV per atom

=====

Record 3
LiAl4Au2 | GGA-PBE | relaxed

a b c (Å): 16.205 4.229 7.296
angles (deg): 90.00 90.00 90.00
Positions (direct):
Li 0.147 0.250 0.078
Li 0.353 0.750 0.578
Li 0.647 0.250 0.422
Li 0.853 0.750 0.922
Al 0.033 0.750 0.889
Al 0.064 0.250 0.467
Al 0.189 0.750 0.782
Al 0.191 0.750 0.382
Al 0.309 0.250 0.882
Al 0.311 0.250 0.282
Al 0.436 0.750 0.967
Al 0.467 0.250 0.389
Al 0.533 0.750 0.611
Al 0.564 0.250 0.033
Al 0.689 0.750 0.718
Al 0.691 0.750 0.118
Al 0.809 0.250 0.618
Al 0.811 0.250 0.218
Al 0.936 0.750 0.533
Al 0.967 0.250 0.111
Au 0.041 0.750 0.253
Au 0.220 0.250 0.584
Au 0.280 0.750 0.084
Au 0.459 0.250 0.753
Au 0.541 0.750 0.247
Au 0.720 0.250 0.916
Au 0.780 0.750 0.416
Au 0.959 0.250 0.747

Values from the calculation:
- V: 17.86 A^3/atom
- Space-group type: No. 62
- E: -3.724 eV per atom

=====

Record 4
LiAlAu2 | GGA-PBE | relaxed

a b c (Å): 4.975 4.975 4.535
angles (deg): 102.71 102.71 35.89
Positions (direct):
Li 0.000 0.000 0.000
Al 0.240 0.240 0.646
Au 0.503 0.503 0.509
Au 0.741 0.741 0.140

Values from the calculation:
- V: 16.00 A^3/atom
- Space-group type: No. 8
- E: -3.545 eV per atom

=====

Record 5
LiAlAu2 | GGA-PBE | relaxed

a b c (Å): 5.053 5.053 5.053
angles (deg): 135.28 135.18 65.17
Positions (direct):
Li 0.000 0.000 0.000
Al 0.250 0.750 0.500
Au 0.500 0.500 0.000
Au 0.750 0.250 0.500

Values from the calculation:
- V: 15.77 A^3/atom
- Space-group type: No. 44
- E: -3.547 eV per atom

=====

Record 6
LiAlAu2 | GGA-PBE | relaxed

a b c (Å): 9.198 9.198 9.198
angles (deg): 154.31 154.31 36.65
Positions (direct):
Li 0.000 0.000 0.000
Li 0.750 0.250 0.500
Al 0.250 0.750 0.500
Al 0.500 0.500 0.000
Au 0.124 0.625 0.999
Au 0.375 0.374 0.499
Au 0.626 0.125 0.001
Au 0.875 0.876 0.501

Values from the calculation:
- V: 18.26 A^3/atom
- Space-group type: No. 122
- E: -3.234 eV per atom

=====

| no. | energy relative to the elements (meV/atom) |
| --- | --- |
| 1 | -428.3 |
| 2 | -348.3 |
| 3 | -376.0 |
| 4 | -492.2 |
| 5 | -493.9 |
| 6 | -180.8 |